1.
DFT (PBE-GGA) results for Li7Zn5Ag after structural relaxation.

Geometry as CIF:
```
data_Li7Zn5Ag
_chemical_formula_sum 'Li14 Zn10 Ag2'
_symmetry_space_group_name_H-M 'C 1 m 1'
_symmetry_Int_Tables_number 8
_symmetry_space_group_name_Hall 'C -2y'
_cell_length_a 10.587
_cell_length_b 9.099
_cell_length_c 5.096
_cell_angle_alpha 90.00
_cell_angle_beta 118.75
_cell_angle_gamma 90.00
loop_
_atom_site_label
_atom_site_fract_x
_atom_site_fract_y
_atom_site_fract_z
Li1 0.000 0.000 0.000
Li2 0.075 0.500 0.076
Li3 0.220 0.352 0.719
Li4 0.221 0.211 0.221
Li5 0.237 0.000 0.736
Zn1 0.438 0.000 0.438
Zn2 0.467 0.246 0.216
Zn3 0.467 0.246 0.719
Ag1 0.377 0.500 0.378
```

Properties
The value obtained for the total energy is -1.89 eV/atom. As for the total magnetization: 0.00 μB per cell. As for the density of states at the Fermi level: 5.093 states/eV/f.u. Its formation energy is -14 kJ per mole of atoms.

=====

2.
DFT (PBE-GGA) results for CsN4 after structural relaxation.

Geometry as CIF:
```
data_CsN4
_chemical_formula_sum 'Cs2 N8'
_symmetry_space_group_name_H-M 'P 1 21/c 1'
_symmetry_Int_Tables_number 14
_symmetry_space_group_name_Hall '-P 2ybc'
_cell_length_a 4.697
_cell_length_b 5.495
_cell_length_c 8.983
_cell_angle_alpha 90.00
_cell_angle_beta 99.77
_cell_angle_gamma 90.00
loop_
_atom_site_label
_atom_site_fract_x
_atom_site_fract_y
_atom_site_fract_z
Cs1 0.000 0.000 0.000
N1 0.335 0.017 0.724
N2 0.473 0.520 0.839
```

Properties
The value obtained for the total energy is -6.95 eV/atom. As for the total magnetization: 0.00 μB per cell. As for the density of states at the Fermi level: 2.873 states/eV/f.u.

=====

3.
DFT (PBE-GGA) results for TlCdSb2Te after structural relaxation.

Geometry as CIF:
```
data_TlCdSb2Te
_chemical_formula_sum 'Tl1 Cd1 Sb2 Te1'
_symmetry_space_group_name_H-M 'P 4/m m m'
_symmetry_Int_Tables_number 123
_symmetry_space_group_name_Hall '-P 4 2'
_cell_length_a 5.542
_cell_length_b 5.542
_cell_length_c 5.860
_cell_angle_alpha 90.00
_cell_angle_beta 90.00
_cell_angle_gamma 90.00
loop_
_atom_site_label
_atom_site_fract_x
_atom_site_fract_y
_atom_site_fract_z
Tl1 0.000 0.000 0.000
Cd1 0.500 0.500 0.500
Sb1 0.000 0.500 0.500
Te1 0.500 0.500 0.000
```

Properties
The value obtained for the total energy is -2.49 eV/atom. As for the total magnetization: 0.00 μB per cell. As for the density of states at the Fermi level: 4.662 states/eV/f.u.

=====

4.
DFT (PBE-GGA) results for CuAsRh after structural relaxation.

Geometry as CIF:
```
data_CuAsRh
_chemical_formula_sum 'Cu1 As1 Rh1'
_symmetry_space_group_name_H-M 'P 3 m 1'
_symmetry_Int_Tables_number 156
_symmetry_space_group_name_Hall 'P 3 -2"'
_cell_length_a 4.1604
_cell_length_b 4.1604
_cell_length_c 2.9705
_cell_angle_alpha 90.00
_cell_angle_beta 90.00
_cell_angle_gamma 120.00
loop_
_atom_site_label
_atom_site_fract_x
_atom_site_fract_y
_atom_site_fract_z
Cu1 0.0000 0.0000 0.0000
As1 0.3333 0.6667 0.5025
Rh1 0.6667 0.3333 0.5005
```

Properties
The value obtained for the total energy is -5.46 eV/atom. As for the total magnetization: 0.00 μB per cell. As for the density of states at the Fermi level: 1.694 states/eV/f.u. Its formation energy is -9 kJ per mole of atoms.

=====

5.
DFT (PBE-GGA) results for RbH6O4 after structural relaxation.

Geometry as CIF:
```
data_RbH6O4
_chemical_formula_sum 'Rb2 H12 O8'
_symmetry_space_group_name_H-M 'I -4 2 m'
_symmetry_Int_Tables_number 121
_symmetry_space_group_name_Hall 'I -4 2'
_cell_length_a 5.218
_cell_length_b 5.218
_cell_length_c 7.524
_cell_angle_alpha 90.00
_cell_angle_beta 90.00
_cell_angle_gamma 90.00
loop_
_atom_site_label
_atom_site_fract_x
_atom_site_fract_y
_atom_site_fract_z
Rb1 0.000 0.000 0.000
H1 0.000 0.500 0.000
H2 0.229 0.229 0.241
O1 0.190 0.190 0.636
```

Properties
The value obtained for the total energy is -3.78 eV/atom. As for the total magnetization: 2.01 μB per cell. As for the density of states at the Fermi level: 3.879 states/eV/f.u.